The following is a DFT calculation (meta-GGA SCAN) of a crystal of ReIr2Rh relaxed with PBEsol.

abc: 2.7065 2.7065 26.5375
angles: 90.00 90.00 120.00
Space group R-3m (No. 166, hexagonal axes)
Asymmetric unit:
Re1 0.0000 0.0000 0.0000 (multiplicity 3)
Ir1 0.0000 0.0000 0.2509 (multiplicity 6)
Rh1 0.0000 0.0000 0.5000 (multiplicity 3)

Summary:
ΔE_f, eV per atom: -0.110
Excess energy over the best structure of this formula in the dataset, eV per formula unit: 0.21
Density of states at the Fermi level, states/eV/cell: 11.4

=====

The following is a DFT calculation (meta-GGA SCAN) of a crystal of ReIrRh2 relaxed with PBEsol.

abc: 8.964 2.684 4.671
angles: 90.00 99.90 90.00
Space group C2/m (No. 12)
Asymmetric unit:
Re1 0.000 0.000 0.000 (multiplicity 2)
Ir1 0.000 0.500 0.500 (multiplicity 2)
Rh1 0.249 0.500 0.248 (multiplicity 4)

Summary:
ΔE_f, eV per atom: -0.092
Excess energy over the best structure of this formula in the dataset, eV per formula unit: 0.15
Density of states at the Fermi level, states/eV/cell: 7.8